Material: Nd6Si2SbSe3
Method: DFT, PBE
State: optimized geometry

a b c (Å): 18.784 4.307 8.658
angles (deg): 90.00 103.06 90.00
Space group C2/m (No. 12)
Symmetry-distinct sites (fractional):
1 Nd 0.005 0.000 0.260 x4
2 Nd 0.170 0.500 0.098 x4
3 Nd 0.170 0.500 0.578 x4
4 Si 0.167 0.000 0.335 x4
5 Sb 0.000 0.500 0.000 x2
6 Se 0.000 0.500 0.500 x2
7 Se 0.165 0.000 0.834 x4

Computed properties:
energy: -141.26 eV/cell
formation energy without anion corrections: -1383 meV/atom
total magnetic moment: 0.00 Bohr magnetons per cell
DOS(E_F): 4.58 states/eV per cell

Material: Hf2HPt
Method: DFT, PBE
State: optimized geometry

a b c (Å): 3.443 6.061 6.928
angles (deg): 113.52 104.30 90.07
Space group P-1 (No. 2)
Symmetry-distinct sites (fractional):
1 Hf 0.013 0.270 0.025 x2
2 Hf 0.290 0.294 0.582 x2
3 H 0.114 0.622 0.226 x2
4 Pt 0.377 0.905 0.754 x2

Computed properties:
energy: -64.21 eV/cell
total magnetic moment: 0.00 Bohr magnetons per cell
DOS(E_F): 4.01 states/eV per cell
relative energy among the computed polymorphs: 0 meV/atom

Material: La2PrSmTm5
Method: DFT, PBE
State: optimized geometry

a b c (Å): 8.691 8.691 15.630
angles (deg): 90.00 90.00 90.00
Space group I4/mcm (No. 140)
Symmetry-distinct sites (fractional):
1 La 0.117 0.383 0.000 x8
2 Pr 0.000 0.000 0.250 x4
3 Sm 0.000 0.500 0.250 x4
4 Tm 0.000 0.000 0.000 x4
5 Tm 0.214 0.286 0.360 x16

Computed properties:
energy: -157.96 eV/cell
total magnetic moment: 0.00 Bohr magnetons per cell
DOS(E_F): 44.22 states/eV per cell

Material: SrIr2Rh
Method: DFT, PBE
State: optimized geometry

a b c (Å): 4.204 4.204 8.034
angles (deg): 90.00 90.00 90.00
Space group I-4m2 (No. 119)
Symmetry-distinct sites (fractional):
1 Sr 0.000 0.000 0.000 x2
2 Ir 0.000 0.000 0.500 x2
3 Ir 0.000 0.500 0.750 x2
4 Rh 0.000 0.500 0.250 x2

Computed properties:
energy: -49.94 eV/cell
total magnetic moment: 0.00 Bohr magnetons per cell
DOS(E_F): 7.23 states/eV per cell
relative energy among the computed polymorphs: 256 meV/atom

Material: Be4GaRh5
Method: DFT, PBE
State: optimized geometry

a b c (Å): 2.836 2.836 14.253
angles (deg): 90.00 90.00 90.00
Space group P4/mmm (No. 123)
Symmetry-distinct sites (fractional):
1 Be 0.000 0.000 0.096 x2
2 Be 0.000 0.000 0.287 x2
3 Ga 0.000 0.000 0.500 x1
4 Rh 0.500 0.500 0.000 x1
5 Rh 0.500 0.500 0.193 x2
6 Rh 0.500 0.500 0.387 x2

Computed properties:
energy: -60.96 eV/cell
total magnetic moment: 0.00 Bohr magnetons per cell
DOS(E_F): 6.37 states/eV per cell

Material: Sm4GaPd
Method: DFT, PBE
State: optimized geometry

a b c (Å): 5.282 21.362 6.364
angles (deg): 90.00 90.00 90.00
Space group Cmc2_1 (No. 36)
Symmetry-distinct sites (fractional):
1 Sm 0.000 0.057 0.000 x4
2 Sm 0.000 0.191 0.279 x4
3 Sm 0.000 0.213 0.796 x4
4 Sm 0.000 0.386 0.057 x4
5 Ga 0.000 0.342 0.533 x4
6 Pd 0.000 0.075 0.507 x4

Computed properties:
energy: -115.59 eV/cell
total magnetic moment: 0.00 Bohr magnetons per cell
DOS(E_F): 26.21 states/eV per cell
relative energy among the computed polymorphs: 123 meV/atom